Here is a geometry-optimized YBe2Rh structure from Alexandria. Energies are from GGA-PBE.

Cell and atoms, written as POSCAR:
```
YBe2Rh
1.0
-2.9903 -1.7394 1.7086
2.4371 -2.2134 2.0120
0.0793 2.8609 3.0513
Rh Be Y
1 2 1
Direct
0.5000 0.0000 0.5000
0.0000 0.0000 0.0000
0.5000 0.5000 0.0000
0.0000 0.5000 0.5000
```

Its polymorph energy (0 for the lowest one) is 48.0 kJ per mole of atoms. Its total energy is -21.153 eV per cell. As for the space group: P4/mmm (123). Its formation energy is 29 meV/atom. For the total magnetization, the calculation gives 0.00 μB/atom.

---

Here is a geometry-optimized YBeRh2 structure from Alexandria. Energies are from GGA-PBE.

Cell and atoms, written as POSCAR:
```
YBeRh2
1.0
-3.0768 -0.5312 0.1872
-0.1343 -0.3155 -3.1020
0.9784 -6.5416 -2.4803
Rh Be Y
2 1 1
Direct
0.0000 0.0428 0.9553
0.0000 0.4572 0.5447
0.5000 0.7500 0.7500
0.5000 0.2500 0.2500
```

Its total energy is -26.982 eV per cell. As for the space group: P2/m (10). Its formation energy is -522 meV/atom. For the total magnetization, the calculation gives 0.00 μB/atom.

---

Here is a geometry-optimized Y2BeRh structure from Alexandria. Energies are from GGA-PBE.

Cell and atoms, written as POSCAR:
```
Y2BeRh
1.0
3.9854 0.0000 0.0000
0.0000 4.0028 0.0030
0.0000 2.0003 5.3759
Y Be Rh
2 1 1
Direct
0.5000 0.2658 0.3440
0.0000 0.9844 0.9052
0.0000 0.6814 0.5120
0.5000 0.5684 0.7387
```

Its total energy is -25.915 eV per cell. As for the space group: Amm2 (38). Its formation energy is -477 meV/atom. For the total magnetization, the calculation gives 0.00 μB/atom.

---

Here is a geometry-optimized Y2BeRh structure from Alexandria. Energies are from GGA-PBE.

Cell and atoms, written as POSCAR:
```
Y2BeRh
1.0
3.4539 -0.0064 0.0000
0.0062 3.4540 0.0000
0.0000 0.0000 6.7759
Y Be Rh
2 1 1
Direct
0.0000 0.0000 0.4992
0.0000 0.0000 0.0008
0.5000 0.5000 0.2500
0.5000 0.5000 0.7500
```

Its total energy is -25.485 eV per cell. As for the space group: P4/mmm (123). Its formation energy is -370 meV/atom. For the total magnetization, the calculation gives 0.00 μB/atom.

---

Here is a geometry-optimized YBe2Rh structure from Alexandria. Energies are from GGA-PBE.

Cell and atoms, written as POSCAR:
```
YBe2Rh
1.0
-3.4538 0.1815 -0.9091
-0.6028 -2.4928 1.7923
-1.2224 1.9516 5.0333
Be Rh Y
2 1 1
Direct
0.0000 0.1524 0.0691
0.5000 0.0573 0.2619
0.0000 0.4943 0.3862
0.5000 0.7960 0.7828
```

Its polymorph energy (0 for the lowest one) is 17.1 kJ per mole of atoms. Its total energy is -22.436 eV per cell. As for the space group: Amm2 (38). Its formation energy is -292 meV/atom. For the total magnetization, the calculation gives 0.00 μB/atom.

---

Here is a geometry-optimized YBe2Rh structure from Alexandria. Energies are from GGA-PBE.

Cell and atoms, written as POSCAR:
```
YBe2Rh
1.0
3.0631 0.0154 0.0000
-0.0152 3.0631 0.0000
0.0000 0.0000 6.4083
Be Rh Y
2 1 1
Direct
0.0000 0.0000 0.0749
0.5000 0.5000 0.2576
0.0000 0.0000 0.4246
0.5000 0.5000 0.7428
```

Its polymorph energy (0 for the lowest one) is 29.9 kJ per mole of atoms. Its total energy is -21.906 eV per cell. As for the space group: P4mm (99). Its formation energy is -159 meV/atom. For the total magnetization, the calculation gives 0.00 μB/atom.

---

Here is a geometry-optimized YBeRh structure from Alexandria. Energies are from GGA-PBE.

Cell and atoms, written as POSCAR:
```
YBeRh
1.0
-0.7890 -3.6554 -1.2017
0.5298 0.7399 3.8211
-3.9005 0.7093 0.4035
Be Y Rh
1 1 1
Direct
0.0000 0.0000 0.1664
0.3333 0.6667 0.6667
0.6667 0.3333 0.1669
```

Its polymorph energy (0 for the lowest one) is 1.6 kJ per mole of atoms. Its total energy is -19.337 eV per cell. As for the space group: P-6m2 (187). Its formation energy is -598 meV/atom. For the total magnetization, the calculation gives 0.00 μB/atom.

---

Here is a geometry-optimized Y2BeRh structure from Alexandria. Energies are from GGA-PBE.

Cell and atoms, written as POSCAR:
```
Y2BeRh
1.0
3.4084 0.0000 0.0000
0.0000 4.5538 0.0000
0.0000 0.0000 5.6583
Y Be Rh
2 1 1
Direct
0.0000 0.0000 0.9156
0.5000 0.5000 0.3319
0.0000 0.0000 0.4179
0.5000 0.5000 0.8347
```

Its total energy is -24.275 eV per cell. As for the space group: Pmm2 (25). Its formation energy is -67 meV/atom. For the total magnetization, the calculation gives 0.00 μB/atom.